! PBE+U Ac2InMoO6, relaxed; values from VASP
! symmetry: C2/m (12)
! E: -7.08 eV per atom
! V: 16.0 Å³/atom
&SYSTEM
  ibrav = 0, nat = 10, ntyp = 4
/
ATOMIC_SPECIES
Ac 227.00 Ac.upf
In 114.82 In.upf
Mo 95.94 Mo.upf
O 16.00 O.upf
CELL_PARAMETERS angstrom
5.689 -2.843 0.000
5.689 2.843 0.000
-2.382 0.000 4.940
ATOMIC_POSITIONS angstrom
Ac 2.225 0.000 1.100
Ac 6.770 0.000 3.839
In 5.689 0.000 0.000
Mo -1.191 0.000 2.470
O 4.307 1.478 0.989
O 1.771 0.000 3.452
O 4.689 1.478 3.951
O 4.307 -1.478 0.989
O 7.224 0.000 1.487
O 4.689 -1.478 3.951